1.
# PBEsol Ir2RuW, relaxed
# Excess energy over the best structure of this formula in the dataset   44.9 meV per atom
# ΔH_f (0 K)   -0.2299 eV/atom
data_Ir2RuW
_chemical_formula_sum 'Ir2 Ru1 W1'
_space_group_name_H-M_alt 'P 1'
_space_group_IT_number 1
_space_group_name_Hall 'P 1'
_cell_length_a 3.8379
_cell_length_b 3.8379
_cell_length_c 4.7118
_cell_angle_alpha 114.03
_cell_angle_beta 114.03
_cell_angle_gamma 90.00
loop_
_atom_site_label
_atom_site_type_symbol
_atom_site_fract_x
_atom_site_fract_y
_atom_site_fract_z
W1 W 0.0000 0.0000 0.0000
Ir1 Ir 0.2500 0.7500 0.5000
Ir2 Ir 0.7500 0.2500 0.5000
Ru1 Ru 0.5000 0.5000 0.0000

2.
# PBEsol IrPt2, relaxed
# Excess energy over the best structure of this formula in the dataset   18.5 meV per atom
# ΔH_f (0 K)   0.0751 eV/atom
data_IrPt2
_chemical_formula_sum 'Ir1 Pt2'
_space_group_name_H-M_alt 'P 1'
_space_group_IT_number 1
_space_group_name_Hall 'P 1'
_cell_length_a 2.7559
_cell_length_b 2.7559
_cell_length_c 6.1210
_cell_angle_alpha 103.01
_cell_angle_beta 103.01
_cell_angle_gamma 90.00
loop_
_atom_site_label
_atom_site_type_symbol
_atom_site_fract_x
_atom_site_fract_y
_atom_site_fract_z
Ir1 Ir 0.0000 0.0000 0.0000
Pt1 Pt 0.6635 0.6635 0.3271
Pt2 Pt 0.3365 0.3365 0.6729

3.
# PBEsol Sc3Sb, relaxed
# Formation energy without anion corrections   -0.531 eV/atom
# Excess energy over the best structure of this formula in the dataset   23.4 meV per atom
data_Sc3Sb
_chemical_formula_sum 'Sc12 Sb4'
_space_group_name_H-M_alt 'P 1'
_space_group_IT_number 1
_space_group_name_Hall 'P 1'
_cell_length_a 5.9626
_cell_length_b 6.9311
_cell_length_c 9.0651
_cell_angle_alpha 90.00
_cell_angle_beta 90.00
_cell_angle_gamma 90.00
loop_
_atom_site_label
_atom_site_type_symbol
_atom_site_fract_x
_atom_site_fract_y
_atom_site_fract_z
Sc1 Sc 0.8804 0.6985 0.5361
Sc2 Sc 0.6196 0.1985 0.5361
Sc3 Sc 0.1356 0.0157 0.7500
Sc4 Sc 0.3804 0.8015 0.0361
Sc5 Sc 0.1196 0.3015 0.0361
Sc6 Sc 0.6356 0.4843 0.2500
Sc7 Sc 0.8644 0.9843 0.2500
Sc8 Sc 0.3644 0.5157 0.7500
Sc9 Sc 0.3804 0.8015 0.4639
Sc10 Sc 0.8804 0.6985 0.9639
Sc11 Sc 0.1196 0.3015 0.4639
Sc12 Sc 0.6196 0.1985 0.9639
Sb1 Sb 0.1029 0.6144 0.2500
Sb2 Sb 0.8971 0.3856 0.7500
Sb3 Sb 0.3971 0.1144 0.2500
Sb4 Sb 0.6029 0.8856 0.7500

4.
# PBEsol Ca2H2Br, relaxed
# VASP energy   -17.10 eV/cell
data_Ca2H2Br
_chemical_formula_sum 'Ca2 H2 Br1'
_space_group_name_H-M_alt 'P 1'
_space_group_IT_number 1
_space_group_name_Hall 'P 1'
_cell_length_a 3.7156
_cell_length_b 3.7156
_cell_length_c 6.9263
_cell_angle_alpha 105.56
_cell_angle_beta 105.56
_cell_angle_gamma 90.00
loop_
_atom_site_label
_atom_site_type_symbol
_atom_site_fract_x
_atom_site_fract_y
_atom_site_fract_z
Br1 Br 0.0000 0.0000 0.0000
Ca1 Ca 0.6553 0.6553 0.3106
Ca2 Ca 0.3447 0.3447 0.6894
H1 H 0.2500 0.7500 0.5000
H2 H 0.7500 0.2500 0.5000

5.
# PBEsol LiCdTe, relaxed
# Formation energy without anion corrections   -0.291 eV/atom
# Excess energy over the best structure of this formula in the dataset   0.0 meV per atom
data_LiCdTe
_chemical_formula_sum 'Li1 Cd1 Te1'
_space_group_name_H-M_alt 'P 1'
_space_group_IT_number 1
_space_group_name_Hall 'P 1'
_cell_length_a 4.9378
_cell_length_b 4.9378
_cell_length_c 4.9378
_cell_angle_alpha 60.00
_cell_angle_beta 60.00
_cell_angle_gamma 60.00
loop_
_atom_site_label
_atom_site_type_symbol
_atom_site_fract_x
_atom_site_fract_y
_atom_site_fract_z
Li1 Li 0.5000 0.5000 0.5000
Cd1 Cd 0.0000 0.0000 0.0000
Te1 Te 0.2500 0.2500 0.2500

6.
# PBEsol MgPdSeBr2, relaxed
# Formation energy without anion corrections   0.060 eV/atom
data_MgPdSeBr2
_chemical_formula_sum 'Mg1 Pd1 Se1 Br2'
_space_group_name_H-M_alt 'P 1'
_space_group_IT_number 1
_space_group_name_Hall 'P 1'
_cell_length_a 4.9685
_cell_length_b 4.9685
_cell_length_c 5.1219
_cell_angle_alpha 90.00
_cell_angle_beta 90.00
_cell_angle_gamma 90.00
loop_
_atom_site_label
_atom_site_type_symbol
_atom_site_fract_x
_atom_site_fract_y
_atom_site_fract_z
Pd1 Pd 0.5000 0.5000 0.5000
Se1 Se 0.0000 0.0000 0.5000
Br1 Br 0.0000 0.5000 0.0000
Br2 Br 0.5000 0.0000 0.0000
Mg1 Mg 0.0000 0.0000 0.0000

7.
# PBEsol YSi3Sb, relaxed
# Formation energy without anion corrections   1.148 eV/atom
data_YSi3Sb
_chemical_formula_sum 'Y1 Si3 Sb1'
_space_group_name_H-M_alt 'P 1'
_space_group_IT_number 1
_space_group_name_Hall 'P 1'
_cell_length_a 5.1929
_cell_length_b 5.1929
_cell_length_c 5.1929
_cell_angle_alpha 90.00
_cell_angle_beta 90.00
_cell_angle_gamma 90.00
loop_
_atom_site_label
_atom_site_type_symbol
_atom_site_fract_x
_atom_site_fract_y
_atom_site_fract_z
Si1 Si 0.5000 0.0000 0.0000
Si2 Si 0.0000 0.5000 0.0000
Si3 Si 0.0000 0.0000 0.5000
Sb1 Sb 0.5000 0.5000 0.5000
Y1 Y 0.0000 0.0000 0.0000

8.
# PBEsol KFeS2F, relaxed
# Formation energy without anion corrections   0.326 eV/atom
data_KFeS2F
_chemical_formula_sum 'K1 Fe1 S2 F1'
_space_group_name_H-M_alt 'P 1'
_space_group_IT_number 1
_space_group_name_Hall 'P 1'
_cell_length_a 4.3666
_cell_length_b 4.6733
_cell_length_c 4.6733
_cell_angle_alpha 90.00
_cell_angle_beta 90.00
_cell_angle_gamma 90.00
loop_
_atom_site_label
_atom_site_type_symbol
_atom_site_fract_x
_atom_site_fract_y
_atom_site_fract_z
Fe1 Fe 0.5000 0.5000 0.5000
K1 K 0.5000 0.0000 0.0000
S1 S 0.0000 0.0000 0.5000
S2 S 0.0000 0.5000 0.0000
F1 F 0.0000 0.0000 0.0000

9.
# PBEsol EuP2Ru2, relaxed
# ΔH_f (0 K)   -1.0135 eV/atom
data_EuP2Ru2
_chemical_formula_sum 'Eu1 P2 Ru2'
_space_group_name_H-M_alt 'P 1'
_space_group_IT_number 1
_space_group_name_Hall 'P 1'
_cell_length_a 4.0210
_cell_length_b 4.0210
_cell_length_c 5.7229
_cell_angle_alpha 110.57
_cell_angle_beta 110.57
_cell_angle_gamma 90.00
loop_
_atom_site_label
_atom_site_type_symbol
_atom_site_fract_x
_atom_site_fract_y
_atom_site_fract_z
Eu1 Eu 0.0000 0.0000 0.0000
Ru1 Ru 0.7500 0.2500 0.5000
Ru2 Ru 0.2500 0.7500 0.5000
P1 P 0.3668 0.3668 0.7335
P2 P 0.6332 0.6332 0.2665

10.
# PBEsol Sr4Nb3PO14, relaxed
# Formation energy without anion corrections   -2.814 eV/atom
data_Sr4Nb3PO14
_chemical_formula_sum 'Sr4 Nb3 P1 O14'
_space_group_name_H-M_alt 'P 1'
_space_group_IT_number 1
_space_group_name_Hall 'P 1'
_cell_length_a 4.0694
_cell_length_b 5.7028
_cell_length_c 13.1346
_cell_angle_alpha 94.24
_cell_angle_beta 97.48
_cell_angle_gamma 91.28
loop_
_atom_site_label
_atom_site_type_symbol
_atom_site_fract_x
_atom_site_fract_y
_atom_site_fract_z
O1 O 0.5673 0.4408 0.0939
O2 O 0.0471 0.6590 0.9896
O3 O 0.1983 0.2879 0.4199
O4 O 0.7460 0.7834 0.6080
O5 O 0.1119 0.1985 0.1949
O6 O 0.9956 0.1116 0.7783
O7 O 0.4868 0.8978 0.8968
O8 O 0.0276 0.1713 0.9918
O9 O 0.3658 0.5032 0.6899
O10 O 0.8998 0.6102 0.7829
O11 O 0.1120 0.7247 0.2052
O12 O 0.7966 0.3471 0.5961
O13 O 0.6530 0.9957 0.3095
O14 O 0.2030 0.8029 0.4323
Nb1 Nb 0.1422 0.0187 0.3314
Nb2 Nb 0.9582 0.9213 0.8827
Nb3 Nb 0.0467 0.4627 0.1092
Sr1 Sr 0.4201 0.4259 0.8752
Sr2 Sr 0.7025 0.5514 0.4303
Sr3 Sr 0.2575 0.0776 0.6060
Sr4 Sr 0.5466 0.9670 0.1089
P1 P 0.7152 0.5616 0.6674

11.
# PBEsol Ta2CrIn, relaxed
# ΔH_f (0 K)   0.2349 eV/atom
data_Ta2CrIn
_chemical_formula_sum 'Ta2 Cr1 In1'
_space_group_name_H-M_alt 'P 1'
_space_group_IT_number 1
_space_group_name_Hall 'P 1'
_cell_length_a 3.5892
_cell_length_b 4.2511
_cell_length_c 4.3912
_cell_angle_alpha 90.00
_cell_angle_beta 90.00
_cell_angle_gamma 90.00
loop_
_atom_site_label
_atom_site_type_symbol
_atom_site_fract_x
_atom_site_fract_y
_atom_site_fract_z
Ta1 Ta 0.0000 0.0000 0.0000
Ta2 Ta 0.5000 0.5000 0.0000
In1 In 0.0000 0.5000 0.5000
Cr1 Cr 0.5000 0.0000 0.5000

12.
# PBEsol Ta2TlIr, relaxed
# Excess energy over the best structure of this formula in the dataset   23.8 meV per atom
# ΔH_f (0 K)   0.1259 eV/atom
data_Ta2TlIr
_chemical_formula_sum 'Ta2 Tl1 Ir1'
_space_group_name_H-M_alt 'P 1'
_space_group_IT_number 1
_space_group_name_Hall 'P 1'
_cell_length_a 3.7465
_cell_length_b 4.4095
_cell_length_c 5.1187
_cell_angle_alpha 115.51
_cell_angle_beta 111.47
_cell_angle_gamma 90.00
loop_
_atom_site_label
_atom_site_type_symbol
_atom_site_fract_x
_atom_site_fract_y
_atom_site_fract_z
Ta1 Ta 0.2643 0.2643 0.5285
Ta2 Ta 0.7357 0.7357 0.4715
Ir1 Ir 0.0000 0.5000 0.0000
Tl1 Tl 0.5000 0.0000 0.0000